1.
ZrCr2N2: relaxed, PBE-GGA.

CIF file:
```
data_ZrCr2N2
_chemical_formula_sum 'Zr1 Cr2 N2'
_cell_length_a 3.2652
_cell_length_b 3.2652
_cell_length_c 5.5583
_cell_angle_alpha 72.92
_cell_angle_beta 72.92
_cell_angle_gamma 90.00
_space_group_name_H-M_alt 'P 1'
_space_group_IT_number 1
loop_
_space_group_symop_operation_xyz
'x,y,z'
loop_
_atom_site_label
_atom_site_type_symbol
_atom_site_fract_x
_atom_site_fract_y
_atom_site_fract_z
N1 N 0.3676 0.3676 0.2648
N2 N 0.6324 0.6324 0.7352
Zr1 Zr 0.0000 0.0000 0.0000
Cr1 Cr 0.2500 0.7500 0.5000
Cr2 Cr 0.7500 0.2500 0.5000
```

* calculated density: 6.9 g/cm³
* E_form (uncorrected): -0.2701 eV/atom
* crystal system: tetragonal



2.
Pm14ScAl: relaxed, PBE-GGA.

CIF file:
```
data_Pm14ScAl
_chemical_formula_sum 'Pm14 Sc1 Al1'
_cell_length_a 7.1316
_cell_length_b 7.1316
_cell_length_c 10.1635
_cell_angle_alpha 90.00
_cell_angle_beta 90.00
_cell_angle_gamma 90.01
_space_group_name_H-M_alt 'P 1'
_space_group_IT_number 1
loop_
_space_group_symop_operation_xyz
'x,y,z'
loop_
_atom_site_label
_atom_site_type_symbol
_atom_site_fract_x
_atom_site_fract_y
_atom_site_fract_z
Pm1 Pm 0.1227 0.3727 0.2404
Pm2 Pm 0.6271 0.3729 0.7595
Pm3 Pm 0.8748 0.1252 0.5000
Pm4 Pm 0.3751 0.6249 0.5000
Pm5 Pm 0.3754 0.1252 0.0000
Pm6 Pm 0.1229 0.8771 0.2401
Pm7 Pm 0.1227 0.3727 0.7596
Pm8 Pm 0.6273 0.8773 0.7596
Pm9 Pm 0.3746 0.1248 0.5000
Pm10 Pm 0.8752 0.6254 0.5000
Pm11 Pm 0.6271 0.3729 0.2405
Pm12 Pm 0.6273 0.8773 0.2404
Pm13 Pm 0.8748 0.6246 0.0000
Pm14 Pm 0.1229 0.8771 0.7599
Sc1 Sc 0.3751 0.6249 0.0000
Al1 Al 0.8749 0.1251 0.0000
```

* calculated density: 6.8 g/cm³
* energy relative to the elements: -0.01 eV per atom
* crystal system: tetragonal



3.
LaTl3: relaxed, PBE-GGA.

CIF file:
```
data_LaTl3
_chemical_formula_sum 'La2 Tl6'
_cell_length_a 4.7985
_cell_length_b 4.8685
_cell_length_c 10.9116
_cell_angle_alpha 90.00
_cell_angle_beta 102.70
_cell_angle_gamma 90.00
_space_group_name_H-M_alt 'P 1'
_space_group_IT_number 1
loop_
_space_group_symop_operation_xyz
'x,y,z'
loop_
_atom_site_label
_atom_site_type_symbol
_atom_site_fract_x
_atom_site_fract_y
_atom_site_fract_z
Tl1 Tl 0.9460 0.7500 0.8920
Tl2 Tl 0.6751 0.2500 0.3502
Tl3 Tl 0.5586 0.7500 0.1173
Tl4 Tl 0.4414 0.2500 0.8827
Tl5 Tl 0.3249 0.7500 0.6498
Tl6 Tl 0.0540 0.2500 0.1080
La1 La 0.1739 0.7500 0.3478
La2 La 0.8261 0.2500 0.6522
```

* calculated density: 10.0 g/cm³
* energy relative to the elements: -0.18 eV per atom
* crystal system: orthorhombic



4.
CaHoCdHg: relaxed, PBE-GGA.

CIF file:
```
data_CaHoCdHg
_chemical_formula_sum 'Ca1 Ho1 Cd1 Hg1'
_cell_length_a 3.7726
_cell_length_b 3.7726
_cell_length_c 7.4936
_cell_angle_alpha 90.00
_cell_angle_beta 90.00
_cell_angle_gamma 90.00
_space_group_name_H-M_alt 'P 1'
_space_group_IT_number 1
loop_
_space_group_symop_operation_xyz
'x,y,z'
loop_
_atom_site_label
_atom_site_type_symbol
_atom_site_fract_x
_atom_site_fract_y
_atom_site_fract_z
Hg1 Hg 0.0000 0.0000 0.3725
Cd1 Cd 0.0000 0.0000 0.8435
Ca1 Ca 0.5000 0.5000 0.1104
Ho1 Ho 0.5000 0.5000 0.6017
```

* calculated density: 8.1 g/cm³
* energy relative to the elements: -0.44 eV per atom
* crystal system: tetragonal



5.
HgBi2H2: relaxed, PBE-GGA.

CIF file:
```
data_HgBi2H2
_chemical_formula_sum 'Hg1 Bi2 H2'
_cell_length_a 4.6285
_cell_length_b 10.8131
_cell_length_c 3.3130
_cell_angle_alpha 77.84
_cell_angle_beta 46.17
_cell_angle_gamma 77.54
_space_group_name_H-M_alt 'P 1'
_space_group_IT_number 1
loop_
_space_group_symop_operation_xyz
'x,y,z'
loop_
_atom_site_label
_atom_site_type_symbol
_atom_site_fract_x
_atom_site_fract_y
_atom_site_fract_z
Bi1 Bi 0.4617 0.6430 0.4329
Bi2 Bi 0.5383 0.3570 0.5671
H1 H 0.2010 0.1184 0.4805
H2 H 0.7990 0.8816 0.5195
Hg1 Hg 0.0000 0.0000 0.0000
```

* final energy: -2.7061 eV per atom
* calculated density: 8.9 g/cm³
* crystal system: triclinic



6.
ZrAlCu2H: relaxed, PBE-GGA.

CIF file:
```
data_ZrAlCu2H
_chemical_formula_sum 'Zr1 Al1 Cu2 H1'
_cell_length_a 4.0679
_cell_length_b 4.0679
_cell_length_c 3.9824
_cell_angle_alpha 90.00
_cell_angle_beta 90.00
_cell_angle_gamma 90.00
_space_group_name_H-M_alt 'P 1'
_space_group_IT_number 1
loop_
_space_group_symop_operation_xyz
'x,y,z'
loop_
_atom_site_label
_atom_site_type_symbol
_atom_site_fract_x
_atom_site_fract_y
_atom_site_fract_z
H1 H 0.0000 0.0000 0.0000
Zr1 Zr 0.0000 0.0000 0.5000
Cu1 Cu 0.0000 0.5000 0.0000
Cu2 Cu 0.5000 0.0000 0.0000
Al1 Al 0.5000 0.5000 0.5000
```

* final energy: -4.9319 eV per atom
* calculated density: 6.2 g/cm³
* crystal system: tetragonal